(1)
BeCrP | PBE | optimized geometry

* energy above the lowest structure with this stoichiometry: 410 meV per atom
* DFT total energy: -6.218 eV/atom
* size of the total moment: 0.00 Bohr magnetons per cell

Cell: 3.744 3.744 2.650 Å, 90.00 90.00 120.00°
Fractional coordinates of all 3 atoms:
1 Be 0.000 0.000 0.000
2 Cr 0.667 0.333 0.569
3 P 0.333 0.667 0.820

(2)
NdZn2Au9 | PBE | optimized geometry

* DFT total energy: -3.341 eV/atom
* size of the total moment: 0.00 Bohr magnetons per cell

Cell: 8.777 8.777 8.777 Å, 99.63 99.63 131.72°
Fractional coordinates of all 24 atoms:
1 Nd 0.375 0.625 0.750
2 Nd 0.625 0.375 0.250
3 Zn 0.000 0.000 0.000
4 Zn 0.000 0.000 0.500
5 Zn 0.000 0.500 0.000
6 Zn 0.500 0.000 0.500
7 Au 0.117 0.552 0.322
8 Au 0.117 0.795 0.565
9 Au 0.125 0.875 0.250
10 Au 0.205 0.270 0.322
11 Au 0.205 0.883 0.935
12 Au 0.270 0.205 0.822
13 Au 0.270 0.448 0.065
14 Au 0.448 0.270 0.565
15 Au 0.448 0.883 0.178
16 Au 0.552 0.117 0.822
17 Au 0.552 0.730 0.435
18 Au 0.730 0.552 0.935
19 Au 0.730 0.795 0.178
20 Au 0.795 0.117 0.065
21 Au 0.795 0.730 0.678
22 Au 0.875 0.125 0.750
23 Au 0.883 0.205 0.435
24 Au 0.883 0.448 0.678

(3)
Ba2TcAu | PBE | optimized geometry

* energy above the lowest structure with this stoichiometry: 66 meV per atom
* DFT total energy: -4.150 eV/atom
* size of the total moment: 1.43 Bohr magnetons per cell

Cell: 4.781 6.241 6.241 Å, 47.07 90.00 90.00°
Fractional coordinates of all 4 atoms:
1 Ba 0.000 0.000 0.000
2 Ba 0.500 0.294 0.294
3 Tc 0.000 0.687 0.687
4 Au 0.500 0.597 0.597